Density functional theory data (PBE-GGA) for a relaxed Er2TmScS6 crystal.

Its uncorrected formation energy is -20.109 eV/f.u. The value obtained for the total magnetization is 0.0 Bohr magnetons per cell. The value obtained for the volume is 714.7 Å³ per cell. The calculation puts the total energy at -194.4 eV for the cell shown.

The structure belongs to space group R3 (No. 146, hexagonal axes); the cell edges are 6.7427, 6.7427 and 18.1498 Å and the angles 90.00°, 90.00° and 120.00°. The distinct sites, in fractional coordinates, are Er at (0.0000, 0.0000, 0.0000), Er at (0.0000, 0.0000, 0.4980), Tm at (0.0000, 0.0000, 0.1988), Sc at (0.0000, 0.0000, 0.6961), S at (0.0348, 0.3492, 0.7666) and S at (0.0391, 0.6738, 0.2685).



Density functional theory data (PBE-GGA) for a relaxed ScZnBr crystal.

Its uncorrected formation energy is -2.410 eV/f.u. The value obtained for the total magnetization is 0.0 Bohr magnetons per cell. The value obtained for the volume is 292.3 Å³ per cell. The calculation puts the total energy at -46.8 eV for the cell shown.

The structure belongs to space group C2/m (No. 12); the cell edges are 6.358, 3.670 and 12.705 Å and the angles 90.00°, 99.68° and 90.00°. The distinct sites, in fractional coordinates, are Sc at (0.097, 0.000, 0.292), Zn at (0.186, 0.000, 0.558) and Br at (0.117, 0.500, 0.848).



Density functional theory data (PBE-GGA) for a relaxed LiBeN crystal.

Its uncorrected formation energy is -2.546 eV/f.u. The value obtained for the total magnetization is 0.0 Bohr magnetons per cell. The value obtained for the volume is 47.2 Å³ per cell. The calculation puts the total energy at -33.0 eV for the cell shown.

The structure belongs to space group P6_3/mmc (No. 194); the cell edges are 2.8759, 2.8759 and 6.5942 Å and the angles 90.00°, 90.00° and 120.00°. The distinct sites, in fractional coordinates, are Li at (0.0000, 0.0000, 0.0000), Be at (0.3333, 0.6667, 0.2500) and N at (0.3333, 0.6667, 0.7500).



Density functional theory data (PBE-GGA) for a relaxed PmInPt6 crystal.

The value obtained for the total magnetization is 0.0 Bohr magnetons per cell. The value obtained for the volume is 146.6 Å³ per cell. The value obtained for the formation energy is -292 meV/atom. The calculation puts the total energy at -46.1 eV for the cell shown.

The structure belongs to space group Pm-3 (No. 200); the cell edges are 5.273, 5.273 and 5.273 Å and the angles 90.00°, 90.00° and 90.00°. The distinct sites, in fractional coordinates, are Pm at (0.000, 0.000, 0.000), In at (0.500, 0.500, 0.500) and Pt at (0.000, 0.252, 0.500).



Density functional theory data (PBE-GGA) for a relaxed NaMn3Cu crystal.

The value obtained for the total magnetization is 11.8 Bohr magnetons per cell. The value obtained for the volume is 101.5 Å³ per cell. The value obtained for the formation energy is 1860 meV/atom. The calculation puts the total energy at -23.6 eV for the cell shown.

The structure belongs to space group Pm-3m (No. 221); the cell edges are 4.664, 4.664 and 4.664 Å and the angles 90.00°, 90.00° and 90.00°. The distinct sites, in fractional coordinates, are Na at (0.000, 0.000, 0.000), Mn at (0.000, 0.000, 0.500) and Cu at (0.500, 0.500, 0.500).